# 1
! Ag2SnGeS4 (PBE, relaxed); values from VASP
! SG: Pmn2_1, No. 31
! Energy relative to the elements, uncorrected in eV per atom: -0.27
&SYSTEM
  ibrav = 0, nat = 16, ntyp = 4
/
ATOMIC_SPECIES
Sn 118.71 Sn.upf
Ag 107.87 Ag.upf
S 32.06 S.upf
Ge 72.64 Ge.upf
ATOMIC_POSITIONS crystal
Sn 0.462 0.779 0.000
Sn 0.962 0.221 0.500
Ag 0.498 0.301 0.249
Ag 0.998 0.699 0.251
Ag 0.998 0.699 0.749
Ag 0.498 0.301 0.751
S 0.399 0.683 0.706
S 0.399 0.683 0.294
S 0.861 0.834 0.500
S 0.899 0.317 0.206
S 0.361 0.166 0.000
S 0.899 0.317 0.794
S 0.885 0.844 0.000
S 0.385 0.156 0.500
Ge 0.998 0.168 0.000
Ge 0.498 0.832 0.500
CELL_PARAMETERS angstrom
-6.220 -0.862 0.770
1.210 -4.468 4.768
-0.146 6.686 6.302

# 2
! Ag2SnGeS (PBE, relaxed); values from VASP
! SG: P4/mmm, No. 123
! Energy relative to the elements, uncorrected in eV per atom: 0.43
&SYSTEM
  ibrav = 0, nat = 5, ntyp = 4
/
ATOMIC_SPECIES
Ag 107.87 Ag.upf
Ge 72.64 Ge.upf
S 32.06 S.upf
Sn 118.71 Sn.upf
ATOMIC_POSITIONS crystal
Ag 0.000 0.000 0.500
Ag 0.500 0.000 0.000
Ge 0.000 0.000 0.000
S 0.000 0.500 0.000
Sn 0.500 0.500 0.500
CELL_PARAMETERS angstrom
4.869 0.000 0.000
0.000 5.194 0.000
0.000 0.000 4.869